No. 1
This record from the Alexandria database describes crystalline Cu2Tc at its relaxed geometry. The functional is GGA-PBE.

Cell and atoms, written as POSCAR:
```
Cu2Tc
1.0
4.238 0.000 0.000
-2.119 3.671 0.000
0.000 0.000 5.111
Cu Tc
4 2
direct
0.000 0.000 0.000
0.000 0.000 0.500
0.333 0.667 0.250
0.667 0.333 0.750
0.333 0.667 0.750
0.667 0.333 0.250
```

Values from the calculation:
The space group is P6_3/mmc (194). The calculation puts the density of states at the Fermi level at 1.41 states/eV per atom. Its calculated volume is 13.25 A^3/atom. For the total energy, the calculation gives -33.8 eV for the cell shown. The calculation puts the density at 9.40 Mg/m³. The formation energy comes out at 550.9 meV per atom. The magnetic moment is 2.0 μB per cell.

***

No. 2
This record from the Alexandria database describes crystalline Cu2Tc at its relaxed geometry. The functional is GGA-PBE.

Cell and atoms, written as POSCAR:
```
Cu2Tc
1.0
4.787 0.000 0.000
-2.393 4.146 0.000
0.000 0.000 7.598
Cu Tc
8 4
direct
0.000 0.000 0.000
0.000 0.000 0.500
0.171 0.343 0.250
0.171 0.829 0.250
0.343 0.171 0.750
0.657 0.829 0.250
0.829 0.171 0.750
0.829 0.657 0.750
0.333 0.667 0.571
0.333 0.667 0.929
0.667 0.333 0.071
0.667 0.333 0.429
```

Values from the calculation:
The space group is P6_3/mmc (194). The calculation puts the density of states at the Fermi level at 0.52 states/eV per atom. Its calculated volume is 12.56 A^3/atom. For the total energy, the calculation gives -71.8 eV for the cell shown. The calculation puts the density at 9.92 Mg/m³. The formation energy comes out at 201.6 meV per atom. The magnetic moment is 0.0 μB per cell.

***

No. 3
This record from the Alexandria database describes crystalline CuTc3 at its relaxed geometry. The functional is GGA-PBE.

Cell and atoms, written as POSCAR:
```
CuTc3
1.0
4.644 0.000 0.000
0.000 8.844 0.000
0.000 0.000 5.463
Cu Tc
4 12
direct
0.098 0.250 0.137
0.402 0.750 0.637
0.598 0.250 0.363
0.902 0.750 0.863
0.099 0.250 0.631
0.240 0.000 0.885
0.240 0.500 0.885
0.260 0.000 0.385
0.260 0.500 0.385
0.401 0.750 0.131
0.599 0.250 0.869
0.740 0.000 0.615
0.740 0.500 0.615
0.760 0.000 0.115
0.760 0.500 0.115
0.901 0.750 0.369
```

Values from the calculation:
The space group is Pnma (62). The calculation puts the density of states at the Fermi level at 0.86 states/eV per atom. Its calculated volume is 14.02 A^3/atom. For the total energy, the calculation gives -138.0 eV for the cell shown. The calculation puts the density at 10.58 Mg/m³. The formation energy comes out at 173.3 meV per atom. The magnetic moment is 0.0 μB per cell.

***

No. 4
This record from the Alexandria database describes crystalline CuTc3 at its relaxed geometry. The functional is GGA-PBE.

Cell and atoms, written as POSCAR:
```
CuTc3
1.0
0.000 2.696 3.859
2.692 0.000 3.859
2.692 2.696 0.000
Cu Tc
1 3
direct
0.000 0.000 0.000
0.250 0.250 0.250
0.500 0.500 0.500
0.750 0.750 0.750
```

Values from the calculation:
The space group is Fmmm (69). The calculation puts the density of states at the Fermi level at 1.18 states/eV per atom. Its calculated volume is 14.00 A^3/atom. For the total energy, the calculation gives -34.4 eV for the cell shown. The calculation puts the density at 10.60 Mg/m³. The formation energy comes out at 205.2 meV per atom. The magnetic moment is 0.0 μB per cell.

***

Question: Which of these has the highest magnetic moment?
Answer: number 1

***

Question: Which formula does entry 1 have?
Answer: Cu2Tc

***

Question: Look up the formation energy of the third one.
Answer: 173.3 meV per atom